[1]
LuNpIrRu | GGA-PBE | optimized geometry

Cell: 4.766 4.766 4.766 Å, 60.00 60.00 60.00°
Fractional positions:
Lu  0.000  0.000  0.000
Np  0.500  0.500  0.500
Ir  0.750  0.750  0.750
Ru  0.250  0.250  0.250

Results
Space-group type = F-43m


[2]
LuNpTcIr | GGA-PBE | optimized geometry

Cell: 4.765 4.765 4.765 Å, 60.00 60.00 60.00°
Fractional positions:
Lu  0.000  0.000  0.000
Np  0.500  0.500  0.500
Tc  0.250  0.250  0.250
Ir  0.750  0.750  0.750

Results
Space-group type = F-43m


| no. | total DFT energy (no corrections) (eV per cell) | DFT formation energy (meV per atom) | magnetic moment (μB/atom) |
| --- | --- | --- | --- |
| 1 | -37.33 | -432 | 0.78 |
| 2 | -37.91 | -306 | 0.70 |